Here is crystalline Ho2B2Pd2CN at its relaxed geometry from the Open Quantum Materials Database. Energies are from PBE.

a b c (Å): 3.716 3.716 7.679
angles (deg): 90.00 90.00 90.00
Space group P4mm (No. 99)
One atom of each set of equivalent atoms:
Ho (0.000, 0.000, 0.000) [1 per cell]
Ho (0.500, 0.500, 0.318) [1 per cell]
B (0.000, 0.000, 0.485) [1 per cell]
B (0.500, 0.500, 0.824) [1 per cell]
Pd (0.000, 0.500, 0.652) [2 per cell]
C (0.500, 0.500, 0.016) [1 per cell]
N (0.000, 0.000, 0.300) [1 per cell]



Here is crystalline NdHoBC2 at its relaxed geometry from the Open Quantum Materials Database. Energies are from PBE.

a b c (Å): 5.256 5.256 6.063
angles (deg): 90.00 114.79 90.00
Space group Cm (No. 8)
One atom of each set of equivalent atoms:
Nd (0.000, 0.000, 0.000) [2 per cell]
Ho (0.200, 0.500, 0.413) [2 per cell]
B (0.357, 0.000, 0.719) [2 per cell]
C (0.218, 0.000, 0.448) [2 per cell]
C (0.493, 0.000, 0.989) [2 per cell]



Here is crystalline HoScNi2B2C2 at its relaxed geometry from the Open Quantum Materials Database. Energies are from PBE.

a b c (Å): 3.496 3.496 7.490
angles (deg): 90.00 90.00 90.00
Space group P4mm (No. 99)
One atom of each set of equivalent atoms:
Ho (0.000, 0.000, 0.000) [1 per cell]
Sc (0.500, 0.500, 0.317) [1 per cell]
Ni (0.000, 0.500, 0.660) [2 per cell]
B (0.000, 0.000, 0.514) [1 per cell]
B (0.500, 0.500, 0.815) [1 per cell]
C (0.000, 0.000, 0.315) [1 per cell]
C (0.500, 0.500, 0.015) [1 per cell]



Here is crystalline SmHoNi2B2C2 at its relaxed geometry from the Open Quantum Materials Database. Energies are from PBE.

a b c (Å): 3.626 3.626 7.536
angles (deg): 90.00 90.00 90.00
Space group P4mm (No. 99)
One atom of each set of equivalent atoms:
Sm (0.000, 0.000, 0.000) [1 per cell]
Ho (0.500, 0.500, 0.663) [1 per cell]
Ni (0.000, 0.500, 0.332) [2 per cell]
B (0.000, 0.000, 0.472) [1 per cell]
B (0.500, 0.500, 0.185) [1 per cell]
C (0.000, 0.000, 0.670) [1 per cell]
C (0.500, 0.500, 0.986) [1 per cell]



Here is crystalline TbHoNi2B2C2 at its relaxed geometry from the Open Quantum Materials Database. Energies are from PBE.

a b c (Å): 3.590 3.590 7.535
angles (deg): 90.00 90.00 90.00
Space group P4mm (No. 99)
One atom of each set of equivalent atoms:
Tb (0.000, 0.000, 0.000) [1 per cell]
Ho (0.500, 0.500, 0.332) [1 per cell]
Ni (0.000, 0.500, 0.666) [2 per cell]
B (0.000, 0.000, 0.521) [1 per cell]
B (0.500, 0.500, 0.813) [1 per cell]
C (0.000, 0.000, 0.323) [1 per cell]
C (0.500, 0.500, 0.012) [1 per cell]



Here is crystalline HoTmNi2B2C2 at its relaxed geometry from the Open Quantum Materials Database. Energies are from PBE.

a b c (Å): 3.553 3.553 7.519
angles (deg): 90.00 90.00 90.00
Space group P4mm (No. 99)
One atom of each set of equivalent atoms:
Ho (0.000, 0.000, 0.000) [1 per cell]
Tm (0.500, 0.500, 0.330) [1 per cell]
Ni (0.000, 0.500, 0.665) [2 per cell]
B (0.000, 0.000, 0.518) [1 per cell]
B (0.500, 0.500, 0.812) [1 per cell]
C (0.000, 0.000, 0.319) [1 per cell]
C (0.500, 0.500, 0.011) [1 per cell]



Number 1: theoretical density 9.2 Mg/m³, final energy -7.1009 eV/atom, M_tot 0.01 μB/f.u.. Number 2: theoretical density 7.5 Mg/m³, final energy -7.2490 eV/atom, M_tot 0.00 μB/f.u.. Number 3: theoretical density 6.8 Mg/m³, final energy -7.2534 eV/atom, M_tot 0.01 μB/f.u.. Number 4: theoretical density 8.0 Mg/m³, final energy -7.0092 eV/atom, M_tot 0.00 μB/f.u.. Number 5: theoretical density 8.3 Mg/m³, final energy -7.0410 eV/atom, M_tot 0.01 μB/f.u.. Number 6: theoretical density 8.7 Mg/m³, final energy -7.0458 eV/atom, M_tot 0.00 μB/f.u..